1.
MnBe2PBr GGA-PBE optimized geometry; crystal system = tetragonal; magnetic moment = 0.40 μB per atom; formation energy from raw total energies = 686 meV per atom; E_tot = -4.05 eV/atom
1.0
4.593 0.000 0.000
0.000 4.158 0.000
0.000 0.000 4.593
Be P Br Mn
2 1 1 1
direct
0.500 0.000 0.000
0.000 0.000 0.500
0.000 0.500 0.000
0.500 0.500 0.500
0.000 0.000 0.000

***

2.
Ba2HfTlRe GGA-PBE optimized geometry; crystal system = tetragonal; magnetic moment = 0.82 μB per atom; energy of formation = 1.655 eV per atom; E_tot = -4.07 eV/atom
1.0
-0.316 4.460 4.493
-5.024 0.658 -1.007
-1.442 -4.431 4.297
Ba Re Tl Hf
2 1 1 1
direct
0.500 0.000 0.000
0.000 0.000 0.500
0.000 0.500 0.000
0.000 0.000 0.000
0.500 0.500 0.500

***

3.
Be2MoPb GGA-PBE optimized geometry; crystal system = tetragonal; magnetic moment = 0.00 μB per atom; energy of formation = 0.677 eV per atom; E_tot = -4.82 eV/atom
1.0
4.894 0.000 0.000
1.876 4.520 0.000
-3.385 -2.260 2.717
Mo Pb Be
1 1 2
direct
0.250 0.750 0.500
0.750 0.250 0.500
0.500 0.500 0.000
0.000 0.000 0.000

***

4.
NiAsBr GGA-PBE optimized geometry; crystal system = monoclinic; magnetic moment = 0.00 μB per atom; formation energy from raw total energies = -114 meV per atom; E_tot = -4.15 eV/atom
1.0
6.952 0.000 0.000
0.000 6.190 -0.242
0.000 -1.911 5.832
As Ni Br
4 4 4
direct
0.869 0.591 0.390
0.631 0.591 0.890
0.131 0.409 0.610
0.369 0.409 0.110
0.430 0.279 0.717
0.570 0.721 0.283
0.070 0.279 0.217
0.930 0.721 0.783
0.091 0.859 0.164
0.591 0.141 0.336
0.409 0.859 0.664
0.909 0.141 0.836

***

5.
Hf2TaVGa GGA-PBE optimized geometry; crystal system = tetragonal; magnetic moment = 0.04 μB per atom; energy of formation = 1.407 eV per atom; E_tot = -7.37 eV/atom
1.0
-1.470 0.548 -4.745
3.340 -3.351 -1.421
-3.376 -3.631 0.627
Hf V Ga Ta
2 1 1 1
direct
0.000 0.000 0.500
0.500 0.000 0.000
0.500 0.500 0.500
0.000 0.500 0.000
0.000 0.000 0.000

***

6.
K3BiPd2O6 GGA-PBE optimized geometry; crystal system = monoclinic; magnetic moment = 0.00 μB per atom; formation energy from raw total energies = -892 meV per atom; E_tot = -4.83 eV/atom
1.0
-2.408 -4.674 -2.959
5.839 1.428 -0.520
0.152 -2.503 5.748
O K Bi Pd
6 3 1 2
direct
0.578 0.928 0.821
0.928 0.578 0.821
0.422 0.072 0.179
0.700 0.700 0.180
0.300 0.300 0.820
0.072 0.422 0.179
0.170 0.830 0.500
0.500 0.500 0.500
0.830 0.170 0.500
0.000 0.000 0.000
0.668 0.332 0.000
0.332 0.668 0.000

***

7.
Pm3NdZn GGA-PBE optimized geometry; crystal system = monoclinic; magnetic moment = 0.00 μB per atom; energy of formation = -0.114 eV per atom; E_tot = -4.17 eV/atom
1.0
-2.469 -2.787 0.020
3.266 -5.396 -1.819
2.341 -1.983 12.800
Pm Nd Zn
6 2 2
direct
0.866 0.267 0.538
0.364 0.273 0.049
0.134 0.733 0.462
0.636 0.727 0.951
0.064 0.871 0.186
0.936 0.129 0.814
0.204 0.591 0.724
0.796 0.409 0.276
0.530 0.940 0.639
0.470 0.060 0.361

***

8.
TlRhC3 GGA-PBE optimized geometry; crystal system = cubic; magnetic moment = 0.00 μB per atom; energy of formation = 3.726 eV per atom; E_tot = -3.75 eV/atom
1.0
-3.647 -2.153 0.749
2.279 -3.400 1.320
-0.068 1.516 4.024
C Rh Tl
3 1 1
direct
0.500 0.000 0.000
0.000 0.000 0.500
0.000 0.500 0.000
0.500 0.500 0.500
0.000 0.000 0.000

***

9.
La2Al4PdAu3 GGA-PBE optimized geometry; crystal system = tetragonal; magnetic moment = 0.00 μB per atom; energy of formation = -0.798 eV per atom; E_tot = -4.78 eV/atom
1.0
-4.357 -0.894 0.393
0.856 -2.625 3.509
-1.101 8.173 6.383
Pd Al Au La
1 4 3 2
direct
0.500 0.500 0.500
0.500 0.000 0.623
0.500 0.500 0.000
0.000 0.000 0.000
0.000 0.500 0.377
0.500 0.000 0.867
0.000 0.500 0.133
0.000 0.000 0.500
0.500 0.000 0.252
0.000 0.500 0.748

***

10.
Sr3Mg3Ag2 GGA-PBE optimized geometry; crystal system = orthorhombic; magnetic moment = 0.00 μB per atom; energy of formation = -0.187 eV per atom; E_tot = -2.13 eV/atom
1.0
-4.426 -3.795 2.586
2.615 -6.631 -5.255
11.535 -5.132 12.215
Mg Sr Ag
12 12 8
direct
0.395 0.674 0.534
0.116 0.172 0.250
0.395 0.674 0.966
0.605 0.326 0.466
0.384 0.672 0.250
0.884 0.828 0.750
0.895 0.826 0.034
0.616 0.328 0.750
0.895 0.826 0.466
0.605 0.326 0.034
0.105 0.174 0.534
0.105 0.174 0.966
0.889 0.535 0.609
0.611 0.035 0.609
0.129 0.172 0.750
0.889 0.535 0.891
0.111 0.465 0.109
0.389 0.965 0.391
0.629 0.328 0.250
0.371 0.672 0.750
0.389 0.965 0.109
0.611 0.035 0.891
0.871 0.828 0.250
0.111 0.465 0.391
0.614 0.617 0.391
0.886 0.117 0.109
0.614 0.617 0.109
0.114 0.883 0.609
0.386 0.383 0.609
0.386 0.383 0.891
0.886 0.117 0.391
0.114 0.883 0.891

***

11.
OsRh2 GGA-PBE optimized geometry; crystal system = trigonal; magnetic moment = 0.00 μB per atom; energy of formation = 0.026 eV per atom; E_tot = -8.62 eV/atom
1.0
2.711 0.000 0.000
-1.356 2.348 0.000
0.000 0.000 6.696
Rh Os
2 1
direct
0.667 0.333 0.328
0.333 0.667 0.672
0.000 0.000 0.000

***

12.
CaMgFeN2 GGA-PBE optimized geometry; crystal system = tetragonal; magnetic moment = 0.01 μB per atom; formation energy from raw total energies = 655 meV per atom; E_tot = -5.09 eV/atom
1.0
-1.903 -3.001 -1.644
0.669 -2.378 3.568
-3.369 1.311 1.505
Ca N Mg Fe
1 2 1 1
direct
0.500 0.500 0.500
0.500 0.000 0.000
0.000 0.000 0.500
0.000 0.500 0.000
0.000 0.000 0.000

***

13.
AcCdPb GGA-PBE optimized geometry; crystal system = cubic; magnetic moment = 0.00 μB per atom; energy of formation = -0.257 eV per atom; E_tot = -3.17 eV/atom
1.0
5.284 0.000 0.000
2.642 4.576 0.000
2.642 1.525 4.314
Cd Ac Pb
1 1 1
direct
0.250 0.250 0.250
0.000 0.000 0.000
0.500 0.500 0.500

***

14.
TePSeO2 GGA-PBE optimized geometry; crystal system = tetragonal; magnetic moment = 0.00 μB per atom; formation energy from raw total energies = -98 meV per atom; E_tot = -4.49 eV/atom
1.0
-2.036 -3.091 -1.153
1.057 -1.895 3.212
-4.664 2.048 2.743
P Se Te O
1 1 1 2
direct
0.000 0.000 0.500
0.500 0.500 0.500
0.000 0.000 0.000
0.500 0.000 0.000
0.000 0.500 0.000

***

15.
CaScGe2Cl GGA-PBE optimized geometry; crystal system = tetragonal; magnetic moment = 0.00 μB per atom; formation energy from raw total energies = 82 meV per atom; E_tot = -3.80 eV/atom
1.0
-2.182 -4.074 -1.819
6.188 -2.974 -0.763
-0.333 -1.870 4.589
Cl Ge Sc Ca
1 2 1 1
direct
0.500 0.500 0.500
0.000 0.000 0.500
0.500 0.000 0.000
0.000 0.000 0.000
0.000 0.500 0.000

***

16.
AcDy6Y4 GGA-PBE optimized geometry; crystal system = tetragonal; magnetic moment = 0.00 μB per atom; energy of formation = 0.444 eV per atom; E_tot = -4.79 eV/atom
1.0
-4.855 -5.505 2.699
3.432 -5.293 -4.623
4.913 4.005 5.677
Y Ac Dy
4 1 6
direct
0.088 0.761 0.848
0.239 0.239 0.152
0.912 0.912 0.152
0.761 0.088 0.848
0.500 0.500 0.000
0.945 0.432 0.377
0.432 0.945 0.377
0.500 0.000 0.000
0.568 0.568 0.623
0.055 0.055 0.623
0.000 0.500 0.000

***

17.
EuThIr2 GGA-PBE optimized geometry; crystal system = trigonal; magnetic moment = 1.68 μB per atom; energy of formation = -0.484 eV per atom; E_tot = -9.34 eV/atom
1.0
4.062 0.000 0.000
2.031 3.518 0.000
2.031 1.173 6.962
Th Ir Eu
1 2 1
direct
0.500 0.500 0.500
0.246 0.246 0.262
0.754 0.754 0.738
0.000 0.000 0.000

***

18.
CaPtC3 GGA-PBE optimized geometry; crystal system = cubic; magnetic moment = 0.00 μB per atom; energy of formation = 1.805 eV per atom; E_tot = -5.34 eV/atom
1.0
4.103 0.000 0.000
0.000 4.103 0.000
0.000 0.000 4.103
C Pt Ca
3 1 1
direct
0.000 0.500 0.000
0.000 0.000 0.500
0.500 0.000 0.000
0.000 0.000 0.000
0.500 0.500 0.500

***

19.
LiNb2Cl6 GGA-PBE optimized geometry; crystal system = monoclinic; magnetic moment = 0.27 μB per atom; formation energy from raw total energies = -1081 meV per atom; E_tot = -4.76 eV/atom
1.0
-3.110 5.395 0.088
-6.197 -0.301 7.033
2.053 4.440 8.002
Cl Nb Li
12 4 2
direct
0.602 0.025 0.788
0.296 0.408 0.994
0.113 0.622 0.625
0.102 0.788 0.025
0.796 0.994 0.408
0.704 0.592 0.006
0.887 0.378 0.375
0.613 0.625 0.622
0.398 0.975 0.212
0.898 0.212 0.975
0.204 0.006 0.592
0.387 0.375 0.378
0.753 0.295 0.211
0.247 0.705 0.789
0.747 0.789 0.705
0.253 0.211 0.295
0.750 0.987 0.013
0.250 0.013 0.987

***

20.
CaBe2F6 GGA-PBE optimized geometry; crystal system = monoclinic; magnetic moment = 0.00 μB per atom; formation energy from raw total energies = -3479 meV per atom; E_tot = -5.78 eV/atom
1.0
-2.406 -4.287 -1.791
2.202 -5.044 4.343
-6.047 -0.083 3.547
F Be Ca
12 4 2
direct
0.325 0.067 0.191
0.825 0.191 0.067
0.935 0.347 0.347
0.808 0.881 0.431
0.435 0.347 0.347
0.308 0.431 0.881
0.175 0.809 0.933
0.192 0.119 0.569
0.675 0.933 0.809
0.065 0.653 0.653
0.692 0.569 0.119
0.565 0.653 0.653
0.285 0.631 0.781
0.215 0.219 0.369
0.785 0.781 0.631
0.715 0.369 0.219
0.250 0.133 0.867
0.750 0.867 0.133

***

21.
Tc2AsPb GGA-PBE optimized geometry; crystal system = monoclinic; magnetic moment = 0.00 μB per atom; energy of formation = 0.431 eV per atom; E_tot = -6.84 eV/atom
1.0
-0.763 1.896 -3.313
-3.012 0.230 0.825
-0.106 5.199 3.000
Pb Tc As
1 2 1
direct
0.500 0.750 0.750
0.000 0.083 0.043
0.000 0.417 0.457
0.500 0.250 0.250

***

22.
HfHg2F GGA-PBE optimized geometry; crystal system = tetragonal; magnetic moment = 0.00 μB per atom; formation energy from raw total energies = -313 meV per atom; E_tot = -3.42 eV/atom
1.0
7.670 0.000 0.000
0.000 7.670 0.000
3.835 3.835 2.759
Hg F Hf
4 2 2
direct
0.375 0.404 0.750
0.154 0.625 0.250
0.596 0.125 0.250
0.875 0.846 0.750
0.500 0.500 0.000
0.250 0.750 0.500
0.000 0.000 0.000
0.750 0.250 0.500

***

23.
Er2Si3Ni5 GGA-PBE optimized geometry; crystal system = orthorhombic; magnetic moment = 0.00 μB per atom; formation energy from raw total energies = -685 meV per atom; E_tot = -6.12 eV/atom
1.0
-3.650 1.034 1.066
-2.529 -4.440 -4.351
1.926 -8.448 7.502
Ni Er Si
10 4 6
direct
0.145 0.262 0.289
0.271 0.081 0.543
0.855 0.762 0.711
0.942 0.977 0.883
0.709 0.197 0.419
0.729 0.581 0.457
0.291 0.697 0.581
0.058 0.477 0.117
0.426 0.222 0.851
0.574 0.722 0.149
0.548 0.135 0.097
0.163 0.824 0.326
0.837 0.324 0.674
0.452 0.635 0.903
0.367 0.953 0.734
0.762 0.900 0.523
0.969 0.312 0.937
0.031 0.812 0.063
0.633 0.453 0.266
0.238 0.400 0.477